## AcCeCuOs (PBE)

Data for a relaxed structure of AcCeCuOs.

Output
The calculation puts the total magnetization at 0.5 μB per formula unit. For the volume, the calculation gives 375.6 Å³ per cell. The value obtained for the density is 11.0 Mg/m³. The formation enthalpy at 0 K comes out at 0.11 eV per formula unit. The total DFT energy (no corrections) comes out at -25.3 eV per formula unit. Its crystal system is cubic.

Cell and atoms, written as CIF:
```
data_AcCeCuOs
_cell_length_a 7.215
_cell_length_b 7.215
_cell_length_c 7.215
_cell_angle_alpha 90.00
_cell_angle_beta 90.00
_cell_angle_gamma 90.00
_space_group_name_H-M_alt 'F -4 3 m'
_space_group_IT_number 216
_space_group_name_Hall 'F -4 2 3'
loop_
_atom_site_label
_atom_site_fract_x
_atom_site_fract_y
_atom_site_fract_z
Ac1 0.000 0.000 0.000
Ce1 0.000 0.000 0.500
Cu1 0.250 0.250 0.250
Os1 0.250 0.250 0.750
```